Entry 1:
MnZn4Ru, optimized geometry, DFT GGA-PBE; mass density = 8.22 g/cm³; space group = Immm; ΔE_f = -0.05 eV per atom
1.0
-2.1189 2.7161 3.6657
2.1189 -2.7161 3.6657
2.1189 2.7161 -3.6657
Mn Zn Ru
1 4 1
direct
0.0000 0.0000 0.0000
0.0859 0.3338 0.7522
0.4184 0.6662 0.7522
0.5816 0.3338 0.2478
0.9141 0.6662 0.2478
0.5000 0.0000 0.5000

Entry 2:
Ac3HgP2Pt9, optimized geometry, DFT GGA-PBE; mass density = 13.50 g/cm³; space group = P-3m1; ΔE_f = -0.66 eV per atom
1.0
7.3350 0.0000 0.0000
-3.6675 6.3523 0.0000
0.0000 0.0000 7.1242
Ac Hg P Pt
3 1 2 9
direct
0.0000 0.0000 0.0000
0.3333 0.6667 0.6646
0.6667 0.3333 0.3354
0.0000 0.0000 0.5000
0.3333 0.6667 0.1287
0.6667 0.3333 0.8713
0.0000 0.5000 0.0000
0.1858 0.3716 0.3186
0.1858 0.8142 0.3186
0.3716 0.1858 0.6814
0.5000 0.0000 0.0000
0.5000 0.5000 0.0000
0.6284 0.8142 0.3186
0.8142 0.1858 0.6814
0.8142 0.6284 0.6814

| no. | E_tot (eV per cell) |
| --- | --- |
| 1 | -23.83 |
| 2 | -87.72 |